Zn2Cd2Au5 | PBE-GGA | optimized geometry

Geometry as POSCAR:
```
Zn2Cd2Au5
1.0
-2.852 0.120 -6.972
1.664 -5.437 -0.774
-6.482 0.086 6.723
Zn Cd Au
4 4 10
Cartesian
-2.312 -0.512 -2.832 Zn
-5.244 -5.091 1.756 Zn
-0.265 -3.281 -0.250 Zn
-7.291 -2.321 -0.827 Zn
0.061 -0.199 -0.028 Cd
-3.314 -1.505 1.785 Cd
-4.226 -4.150 -2.869 Cd
-0.533 -2.857 -3.902 Cd
-5.046 -3.295 -0.058 Au
-4.312 -3.592 3.746 Au
-3.228 -2.041 -4.811 Au
-2.510 -2.373 -1.079 Au
-5.150 -0.873 4.118 Au
-5.033 -1.423 -2.411 Au
-2.402 -4.759 -5.214 Au
-5.857 -0.578 0.380 Au
-2.513 -4.212 1.330 Au
-1.657 -5.093 -1.416 Au
```

Properties
Final energy   -43.07 eV/cell
Energy above the most stable polymorph in this dataset   15 meV per atom
E_form   -0.09 eV/atom
Symmetry   Ima2

CaTb2SnC | PBE-GGA | optimized geometry

Geometry as POSCAR:
```
CaTb2SnC
1.0
4.956 0.000 0.000
0.000 4.938 0.000
0.000 0.000 4.938
Ca C Tb Sn
1 1 2 1
Cartesian
2.478 0.000 0.000 Ca
0.000 0.000 0.000 C
0.000 2.469 0.000 Tb
0.000 0.000 2.469 Tb
2.478 2.469 2.469 Sn
```

Properties
Final energy   -27.09 eV/cell
E_form   -0.52 eV/atom
Symmetry   P4/mmm

Th8SiTe4As3 | PBE-GGA | optimized geometry

Geometry as POSCAR:
```
Th8SiTe4As3
1.0
-8.588 -0.179 -0.236
0.126 -8.665 2.003
4.041 5.519 5.199
Th As Te Si
8 3 4 1
Cartesian
-4.392 0.317 3.133 Th
2.029 -0.833 6.473 Th
-0.096 0.389 3.213 Th
-2.344 -0.924 6.353 Th
-0.029 -3.641 3.833 Th
-4.325 -3.714 3.752 Th
-6.450 -2.492 0.493 Th
-2.076 -2.400 0.613 Th
-4.231 -4.422 0.884 As
-2.210 -1.662 3.483 As
2.083 -1.573 3.601 As
0.000 0.000 0.000 Te
-4.294 -0.090 -0.118 Te
-2.273 2.670 2.481 Te
2.021 2.760 2.599 Te
0.063 -4.332 1.001 Si
```

Properties
Final energy   -110.39 eV/cell
Symmetry   R-3m

DyErBr6 | PBE-GGA | optimized geometry

Geometry as POSCAR:
```
DyErBr6
1.0
-5.753 -3.116 -2.597
-2.435 -5.911 2.945
-6.374 0.448 4.041
Dy Br Er
1 6 1
Cartesian
0.000 0.000 0.000 Dy
-5.249 -6.016 3.024 Br
-5.625 -3.222 0.215 Br
-8.936 -5.356 4.175 Br
-9.313 -2.562 1.365 Br
-8.246 -6.211 0.413 Br
-6.315 -2.367 3.976 Br
-7.281 -4.289 2.195 Er
```

Properties
Final energy   -33.73 eV/cell
Energy above the most stable polymorph in this dataset   20 meV per atom
Symmetry   R-3

Pm2NdCo2 | PBE-GGA | optimized geometry

Geometry as POSCAR:
```
Pm2NdCo2
1.0
-0.087 -1.507 3.498
-5.182 -2.161 -1.061
3.753 -3.352 -3.426
Co Pm Nd
2 2 1
Cartesian
-2.622 -4.198 -1.875 Co
1.106 -2.822 0.886 Co
0.464 -3.795 -1.624 Pm
-1.980 -3.226 0.635 Pm
0.000 0.000 0.000 Nd
```

Properties
Final energy   -28.32 eV/cell
Energy above the most stable polymorph in this dataset   75 meV per atom
E_form   0.03 eV/atom
Symmetry   C2/m

Th2AlSiC | PBE-GGA | optimized geometry

Geometry as POSCAR:
```
Th2AlSiC
1.0
3.920 0.000 0.000
0.000 6.676 0.030
0.000 -2.831 8.136
Th Al C Si
4 2 2 2
Cartesian
2.940 5.103 0.301 Th
0.980 -1.258 7.865 Th
0.980 0.168 3.153 Th
2.940 3.677 5.013 Th
2.940 2.435 2.070 Al
0.980 1.410 6.096 Al
0.980 3.267 6.761 C
2.940 0.577 1.405 C
2.940 -0.003 5.666 Si
0.980 3.847 2.500 Si
```

Properties
Final energy   -71.21 eV/cell
Symmetry   P2_1/m